# 1
Density functional theory data (GGA-PBE) for an optimized crystal structure of HoMg3.

Structure (extended XYZ):
```
4
Lattice="-1.925 1.382 -3.996 2.567 -3.118 -2.315 -3.371 -3.168 0.529" Properties=species:S:1:pos:R:3 pbc="T T T"
Ho -0.121 -2.879 -0.937
Mg -2.367 -0.629 -1.778
Mg -2.769 -3.772 -2.671
Mg -3.090 -2.904 0.485
```

Results
* calculated density: 3.9 g cm⁻³
* ΔE_f: -0.0552 eV per atom
* N(E_F): 0.823 states/eV per atom
* electronic total energy: -9.582 eV for the cell shown
* space group: P4/mmm, No. 123
* magnetic moment: 0.00 μB/f.u.

# 2
Density functional theory data (GGA-PBE) for an optimized crystal structure of CaTb2Pr.

Structure (extended XYZ):
```
4
Lattice="3.590 0.000 0.000 1.795 3.109 0.000 1.795 1.036 12.741" Properties=species:S:1:pos:R:3 pbc="T T T"
Tb 1.795 1.036 9.297
Tb 5.386 3.109 3.443
Pr 3.590 2.073 6.370
Ca 0.000 0.000 0.000
```

Results
* calculated density: 5.8 g cm⁻³
* ΔE_f: 0.1612 eV per atom
* N(E_F): 1.567 states/eV per atom
* electronic total energy: -15.397 eV for the cell shown
* space group: R-3m, No. 166
* magnetic moment: 0.00 μB/f.u.
* relative energy among the computed polymorphs: 101.6 meV per atom

# 3
Density functional theory data (GGA-PBE) for an optimized crystal structure of MnSnRuS.

Structure (extended XYZ):
```
12
Lattice="3.113 0.000 0.000 -1.556 2.696 0.000 0.000 0.000 23.273" Properties=species:S:1:pos:R:3 pbc="T T T"
Mn 0.000 0.000 5.610
Mn 0.000 1.797 21.125
Mn 1.556 0.899 13.367
Ru 1.556 0.899 17.537
Ru 0.000 1.797 2.022
Ru 0.000 0.000 9.779
Sn 0.000 0.000 0.016
Sn 1.556 0.899 7.773
Sn 0.000 1.797 15.531
S 0.000 1.797 4.293
S 1.556 0.899 19.808
S 0.000 0.000 12.050
```

Results
* calculated density: 7.8 g cm⁻³
* N(E_F): 0.850 states/eV per atom
* electronic total energy: -79.851 eV for the cell shown
* uncorrected formation energy: -10 meV/atom
* space group: R3m, No. 160
* magnetic moment: 1.88 μB/f.u.
* relative energy among the computed polymorphs: 190.6 meV per atom

# 4
Density functional theory data (GGA-PBE) for an optimized crystal structure of Tl2RhPbO6.

Structure (extended XYZ):
```
10
Lattice="5.781 -0.001 0.001 2.889 5.004 0.000 2.891 1.667 5.016" Properties=species:S:1:pos:R:3 pbc="T T T"
Tl 2.890 1.667 4.666
Tl 5.780 3.335 1.939
O 4.745 5.246 1.221
O 6.558 1.989 3.910
O 6.559 4.680 3.909
O 7.953 3.276 1.223
O 4.226 3.336 3.910
O 4.643 1.484 1.223
Rh 2.890 1.667 0.188
Pb 8.671 5.002 2.971
```

Results
* calculated density: 9.3 g cm⁻³
* N(E_F): 0.440 states/eV per atom
* electronic total energy: -52.883 eV for the cell shown
* uncorrected formation energy: -734 meV/atom
* space group: R3, No. 146
* magnetic moment: 0.00 μB/f.u.

# 5
Density functional theory data (GGA-PBE) for an optimized crystal structure of Tb3PrC.

Structure (extended XYZ):
```
5
Lattice="-1.395 -3.280 3.648 3.933 1.519 2.869 -2.931 3.598 2.114" Properties=species:S:1:pos:R:3 pbc="T T T"
Tb -0.697 -1.640 1.824
Tb 1.967 0.759 1.435
Tb -1.466 1.799 1.057
C 0.000 0.000 0.000
Pr -0.196 0.919 4.316
```

Results
* calculated density: 7.9 g cm⁻³
* ΔE_f: 0.0019 eV per atom
* N(E_F): 1.020 states/eV per atom
* electronic total energy: -27.885 eV for the cell shown
* space group: Pm-3m, No. 221
* magnetic moment: 0.00 μB/f.u.

# 6
Density functional theory data (GGA-PBE) for an optimized crystal structure of K2PtW.

Structure (extended XYZ):
```
4
Lattice="6.437 0.003 0.000 4.082 4.976 0.000 -5.260 -2.490 2.751" Properties=species:S:1:pos:R:3 pbc="T T T"
W 3.218 0.002 1.376
K 0.000 0.000 0.000
K 5.260 2.490 0.000
Pt 2.041 2.488 1.376
```

Results
* calculated density: 8.6 g cm⁻³
* ΔE_f: 1.0716 eV per atom
* N(E_F): 0.834 states/eV per atom
* electronic total energy: -16.903 eV for the cell shown
* space group: I4/mmm, No. 139
* magnetic moment: 0.00 μB/f.u.
* relative energy among the computed polymorphs: 547.2 meV per atom

# 7
Density functional theory data (GGA-PBE) for an optimized crystal structure of Ti4In3Mo.

Structure (extended XYZ):
```
8
Lattice="3.217 0.000 0.000 0.000 3.217 0.000 0.000 0.000 14.327" Properties=species:S:1:pos:R:3 pbc="T T T"
In 1.609 1.609 3.331
In 1.609 1.609 7.164
In 1.609 1.609 10.996
Ti 0.000 0.000 9.096
Ti 0.000 0.000 12.913
Ti 0.000 0.000 1.415
Ti 0.000 0.000 5.231
Mo 1.609 1.609 0.000
```

Results
* calculated density: 7.1 g cm⁻³
* ΔE_f: -0.1692 eV per atom
* N(E_F): 0.758 states/eV per atom
* electronic total energy: -51.980 eV for the cell shown
* space group: P4/mmm, No. 123
* magnetic moment: 0.00 μB/f.u.

# 8
Density functional theory data (GGA-PBE) for an optimized crystal structure of Ba2Mg3Ga2.

Structure (extended XYZ):
```
7
Lattice="4.802 0.000 0.000 -2.401 5.950 -0.122 0.000 -1.527 7.500" Properties=species:S:1:pos:R:3 pbc="T T T"
Ga 2.401 4.153 1.931
Ga 0.000 0.271 5.446
Ba 2.401 0.794 2.715
Ba 0.000 3.629 4.663
Mg 2.401 0.962 6.667
Mg 0.000 0.000 0.000
Mg 0.000 3.461 0.711
```

Results
* calculated density: 3.8 g cm⁻³
* ΔE_f: -0.2334 eV per atom
* N(E_F): 0.537 states/eV per atom
* electronic total energy: -16.317 eV for the cell shown
* space group: C2/m, No. 12
* magnetic moment: 0.00 μB/f.u.
* relative energy among the computed polymorphs: 0.0 meV per atom

# 9
Density functional theory data (GGA-PBE) for an optimized crystal structure of LaTbTeP.

Structure (extended XYZ):
```
4
Lattice="-2.881 -0.842 -2.928 3.041 -2.772 0.807 -3.430 -1.759 6.884" Properties=species:S:1:pos:R:3 pbc="T T T"
P -2.137 -3.273 5.480
Te -2.934 -2.558 0.054
La 2.317 -2.869 0.981
Tb -3.237 -1.976 3.186
```

Results
* calculated density: 6.6 g cm⁻³
* N(E_F): 0.674 states/eV per atom
* electronic total energy: -24.328 eV for the cell shown
* uncorrected formation energy: -1555 meV/atom
* space group: R3m, No. 160
* magnetic moment: 0.00 μB/f.u.

# 10
Density functional theory data (GGA-PBE) for an optimized crystal structure of TlVInCl2.

Structure (extended XYZ):
```
5
Lattice="-1.982 4.746 1.235 -1.202 -1.916 5.434 4.783 1.578 1.614" Properties=species:S:1:pos:R:3 pbc="T T T"
V 0.800 2.204 4.142
Tl -0.601 -0.958 2.717
Cl 2.392 0.789 0.807
Cl -0.991 2.373 0.618
In 0.000 0.000 0.000
```

Results
* calculated density: 4.4 g cm⁻³
* N(E_F): 3.573 states/eV per atom
* electronic total energy: -14.595 eV for the cell shown
* uncorrected formation energy: 664 meV/atom
* space group: P4/mmm, No. 123
* magnetic moment: 0.64 μB/f.u.

# 11
Density functional theory data (GGA-PBE) for an optimized crystal structure of RbGe2P2.

Structure (extended XYZ):
```
10
Lattice="8.390 0.000 0.000 0.000 8.390 0.000 0.000 0.000 3.402" Properties=species:S:1:pos:R:3 pbc="T T T"
P 5.289 7.296 1.701
P 1.094 5.289 1.701
P 3.101 1.094 1.701
P 7.296 3.101 1.701
Rb 4.195 4.195 0.000
Rb 0.000 0.000 0.000
Ge 7.426 5.159 0.000
Ge 3.231 7.426 0.000
Ge 5.159 0.964 0.000
Ge 0.964 3.231 0.000
```

Results
* calculated density: 4.1 g cm⁻³
* ΔE_f: 0.1995 eV per atom
* N(E_F): 0.505 states/eV per atom
* electronic total energy: -40.049 eV for the cell shown
* space group: P4/mbm, No. 127
* magnetic moment: 0.00 μB/f.u.
* relative energy among the computed polymorphs: 290.5 meV per atom

# 12
Density functional theory data (GGA-PBE) for an optimized crystal structure of La3Pr6Dy2Mg.

Structure (extended XYZ):
```
12
Lattice="-5.534 1.388 2.805 0.075 -2.459 -5.863 1.420 -10.569 5.610" Properties=species:S:1:pos:R:3 pbc="T T T"
Pr -0.067 -3.462 -0.826
Pr -3.743 -3.380 -0.922
Pr -3.972 -8.178 3.378
Pr -1.925 -2.188 2.044
Pr -2.114 -9.452 0.508
Pr -0.296 -8.259 3.475
Dy -1.795 -1.176 -2.973
Dy -3.664 0.106 -0.085
La -3.881 -4.543 4.152
La -0.158 -7.096 -1.600
La -2.019 -5.820 1.276
Mg 0.000 0.000 0.000
```

Results
* calculated density: 6.5 g cm⁻³
* ΔE_f: 0.0278 eV per atom
* N(E_F): 1.377 states/eV per atom
* electronic total energy: -53.924 eV for the cell shown
* space group: C2/m, No. 12
* magnetic moment: 0.00 μB/f.u.